A plane-wave DFT calculation with GGA-PBE was carried out for crystalline LaCeAl2O6 at its relaxed geometry.

Cell lengths 5.3780, 5.3780, 5.3780 Å; angles 60.23, 60.23, 60.23 degrees
With the nearest neighbours (Å) after each atom.
Fractional positions:
La  0.0000  0.0000  0.0000  9 O 2.48-2.70
Ce  0.5000  0.5000  0.5000  9 O 2.46-2.70
Al  0.7499  0.7499  0.7499  6 O 1.92
Al  0.2501  0.2501  0.2501  6 O 1.92
O  0.9558  0.0442  0.5000  2 Al 1.92
O  0.5000  0.9558  0.0442  2 Al 1.92
O  0.0442  0.5000  0.9558  2 Al 1.92
O  0.0000  0.5403  0.4597  2 Al 1.92
O  0.4597  0.0000  0.5403  2 Al 1.92
O  0.5403  0.4597  0.0000  2 Al 1.92

Output
**ΔE to the lowest computed polymorph**: 0.0000 eV per atom
**E_form (uncorrected)**: -312.7 kJ/mol of atoms
**D(E_F)**: 0.845 states/eV per atom
**Spin magnetization**: 1.0 μB per formula unit

A plane-wave DFT calculation with GGA-PBE was carried out for crystalline La4Sm3ErTe8 at its relaxed geometry.

Cell lengths 8.9960, 8.9965, 8.9966 Å; angles 120.01, 120.00, 90.00 degrees
With the nearest neighbours (Å) after each atom.
Fractional positions:
La  0.5000  0.0000  0.0000  6 Te 3.27
La  0.5000  0.0000  0.5000  6 Te 3.22
La  0.0000  0.0000  0.0000  6 Te 3.22
La  0.0000  0.0000  0.5000  6 Te 3.22
Sm  0.5000  0.5000  0.0000  6 Te 3.14
Sm  0.5000  0.5000  0.5000  6 Te 3.14
Sm  0.0000  0.5000  0.5000  6 Te 3.14
Er  0.0000  0.5000  0.0000  6 Te 3.09
Te  0.2429  0.7369  0.9939  1 Er 3.09, 2 Sm 3.14, 3 La 3.22-3.27
Te  0.2430  0.7369  0.4859  1 Er 3.09, 2 Sm 3.14, 3 La 3.22-3.27
Te  0.2531  0.2592  0.5061  3 Sm 3.14, 3 La 3.22
Te  0.7510  0.7369  0.9939  1 Er 3.09, 2 Sm 3.14, 3 La 3.22-3.27
Te  0.2490  0.2631  0.0061  1 Er 3.09, 2 Sm 3.14, 3 La 3.22-3.27
Te  0.7469  0.7408  0.4939  3 Sm 3.14, 3 La 3.22
Te  0.7570  0.2631  0.5141  1 Er 3.09, 2 Sm 3.14, 3 La 3.22-3.27
Te  0.7571  0.2631  0.0061  1 Er 3.09, 2 Sm 3.14, 3 La 3.22-3.27

Output
**E_form (uncorrected)**: -141.7 kJ/mol of atoms
**D(E_F)**: 0.775 states/eV per atom
**Spin magnetization**: 0.0 μB per formula unit

A plane-wave DFT calculation with GGA-PBE was carried out for crystalline CoGeBiIr2 at its relaxed geometry.

Cell lengths 4.5625, 5.3545, 4.5625 Å; angles 90.00, 90.00, 90.00 degrees
With the nearest neighbours (Å) after each atom.
Fractional positions:
Ge  0.0000  0.0000  0.0000  4 Ir 2.28
Ir  0.0000  0.0000  0.5000  2 Ge 2.28
Ir  0.5000  0.0000  0.0000  2 Ge 2.28
Co  0.5000  0.5000  0.5000  4 Bi 3.23, 8 Ir 3.52
Bi  0.0000  0.5000  0.0000  2 Ge 2.68

Output
**D(E_F)**: 0.846 states/eV per atom
**Energy**: -5.279 eV per atom
**Spin magnetization**: 2.4 μB per formula unit

A plane-wave DFT calculation with GGA-PBE was carried out for crystalline Pm4Pd2F at its relaxed geometry.

Cell lengths 4.8344, 4.8344, 8.2276 Å; angles 107.09, 107.09, 90.00 degrees
With the nearest neighbours (Å) after each atom.
Fractional positions:
F  0.0000  0.0000  0.0000  4 Pm 2.42
Pd  0.6256  0.6256  0.2513  1 Pm 2.73
Pd  0.3744  0.3744  0.7487  1 Pm 2.73
Pm  0.8081  0.8081  0.6162  1 Pd 2.73, 1 F 2.87
Pm  0.1919  0.1919  0.3838  1 Pd 2.73, 1 F 2.87
Pm  0.0000  0.5000  0.0000  2 F 2.42
Pm  0.5000  0.0000  0.0000  2 F 2.42

Output
**E_form (uncorrected)**: -102.7 kJ/mol of atoms
**D(E_F)**: 1.147 states/eV per atom
**Spin magnetization**: 0.0 μB per formula unit

A plane-wave DFT calculation with GGA-PBE was carried out for crystalline Y3Al8Zn3 at its relaxed geometry.

Cell lengths 4.2815, 8.2644, 8.2644 Å; angles 74.98, 74.99, 74.99 degrees
With the nearest neighbours (Å) after each atom.
Fractional positions:
Y  0.5000  0.5000  0.5000  12 Al 3.20-3.26
Y  0.8144  0.1856  0.1856  4 Zn 3.11-3.14, 8 Al 3.15
Y  0.1856  0.8144  0.8144  4 Zn 3.11-3.14, 8 Al 3.15
Al  0.6331  0.0872  0.6466  3 Al 2.65-2.72, 3 Zn 2.71-2.76
Al  0.3669  0.9128  0.3534  3 Al 2.65-2.72, 3 Zn 2.71-2.76
Al  0.6331  0.6466  0.0872  3 Al 2.65-2.72, 3 Zn 2.71-2.76
Al  0.3669  0.3534  0.9128  3 Al 2.65-2.72, 3 Zn 2.71-2.76
Al  0.8394  0.7895  0.5318  1 Zn 2.58, 4 Al 2.59-2.72
Al  0.1606  0.2105  0.4682  1 Zn 2.58, 4 Al 2.59-2.72
Al  0.8394  0.5318  0.7895  1 Zn 2.58, 4 Al 2.59-2.72
Al  0.1606  0.4682  0.2105  1 Zn 2.58, 4 Al 2.59-2.72
Zn  0.5000  0.0000  0.0000  4 Al 2.76, 4 Zn 2.99
Zn  0.0000  0.7921  0.2079  6 Al 2.58-2.71
Zn  0.0000  0.2079  0.7921  6 Al 2.58-2.71

Output
**D(E_F)**: 0.295 states/eV per atom
**Energy**: -4.165 eV per atom
**Spin magnetization**: 0.0 μB per formula unit

A plane-wave DFT calculation with GGA-PBE was carried out for crystalline LiTbNi5 at its relaxed geometry.

Cell lengths 4.8344, 7.8994, 9.9973 Å; angles 90.00, 90.00, 90.00 degrees
With the nearest neighbours (Å) after each atom.
Fractional positions:
Li  0.2500  0.8657  0.8552  8 Ni 2.54-2.69
Li  0.7500  0.6343  0.3552  8 Ni 2.54-2.69
Li  0.2500  0.3657  0.6448  8 Ni 2.54-2.69
Li  0.7500  0.1343  0.1448  8 Ni 2.54-2.69
Tb  0.2500  0.2433  0.9407  6 Ni 2.77-2.90
Tb  0.7500  0.2567  0.4407  6 Ni 2.77-2.90
Tb  0.2500  0.7433  0.5593  6 Ni 2.77-2.90
Tb  0.7500  0.7567  0.0593  6 Ni 2.77-2.90
Ni  0.2500  0.5948  0.0181  5 Ni 2.38-2.47
Ni  0.7500  0.9052  0.5181  5 Ni 2.38-2.47
Ni  0.2500  0.0948  0.4819  5 Ni 2.38-2.47
Ni  0.7500  0.4052  0.9819  5 Ni 2.38-2.47
Ni  0.7500  0.3181  0.7505  7 Ni 2.38-2.51, 2 Li 2.66
Ni  0.2500  0.1819  0.2505  7 Ni 2.38-2.51, 2 Li 2.66
Ni  0.7500  0.8181  0.7495  7 Ni 2.38-2.51, 2 Li 2.66
Ni  0.2500  0.6819  0.2495  7 Ni 2.38-2.51, 2 Li 2.66
Ni  0.2500  0.9394  0.1027  4 Ni 2.42-2.51, 1 Li 2.54
Ni  0.7500  0.5606  0.6027  4 Ni 2.42-2.51, 1 Li 2.54
Ni  0.2500  0.4394  0.3973  4 Ni 2.42-2.51, 1 Li 2.54
Ni  0.7500  0.0606  0.8973  4 Ni 2.42-2.51, 1 Li 2.54
Ni  0.9974  0.4284  0.1873  7 Ni 2.38-2.47, 2 Li 2.63-2.65
Ni  0.0026  0.0716  0.6873  7 Ni 2.38-2.47, 2 Li 2.63-2.65
Ni  0.5026  0.9284  0.3127  7 Ni 2.38-2.47, 2 Li 2.63-2.65
Ni  0.4974  0.5716  0.8127  7 Ni 2.38-2.47, 2 Li 2.63-2.65
Ni  0.0026  0.5716  0.8127  7 Ni 2.38-2.47, 2 Li 2.63-2.65
Ni  0.9974  0.9284  0.3127  7 Ni 2.38-2.47, 2 Li 2.63-2.65
Ni  0.4974  0.0716  0.6873  7 Ni 2.38-2.47, 2 Li 2.63-2.65
Ni  0.5026  0.4284  0.1873  7 Ni 2.38-2.47, 2 Li 2.63-2.65

Output
**D(E_F)**: 1.210 states/eV per atom
**Energy**: -5.278 eV per atom
**Spin magnetization**: 1.1 μB per formula unit

A plane-wave DFT calculation with GGA-PBE was carried out for crystalline TbNd4Er2 at its relaxed geometry.

Cell lengths 6.8844, 9.0270, 9.0270 Å; angles 78.70, 67.58, 67.58 degrees
With the nearest neighbours (Å) after each atom.
Fractional positions:
Tb  0.0000  0.5000  0.0000  6 Nd 3.16-3.53, 2 Tb 3.44
Tb  0.5000  0.5000  0.0000  6 Nd 3.16-3.53, 2 Tb 3.44
Nd  0.1487  0.3550  0.3477  1 Er 3.32, 2 Tb 3.53, 3 Nd 3.61-3.69
Nd  0.1487  0.8477  0.8550  1 Er 3.32, 2 Tb 3.53, 3 Nd 3.61-3.69
Nd  0.2304  0.2405  0.7405  1 Nd 3.04, 1 Tb 3.16, 1 Er 3.18
Nd  0.7886  0.2405  0.7405  1 Nd 3.04, 1 Tb 3.16, 1 Er 3.18
Nd  0.2114  0.7595  0.2595  1 Nd 3.04, 1 Tb 3.16, 1 Er 3.18
Nd  0.8513  0.1523  0.1450  1 Er 3.32, 2 Tb 3.53, 3 Nd 3.61-3.69
Nd  0.7696  0.7595  0.2595  1 Nd 3.04, 1 Tb 3.16, 1 Er 3.18
Nd  0.8513  0.6450  0.6523  1 Er 3.32, 2 Tb 3.53, 3 Nd 3.61-3.69
Er  0.2820  0.9680  0.4680  4 Nd 3.18-3.32, 2 Er 3.53
Er  0.5000  0.0000  0.0000  4 Nd 3.45
Er  0.5000  0.5000  0.5000  4 Nd 3.45
Er  0.7180  0.0320  0.5320  4 Nd 3.18-3.32, 2 Er 3.53

Output
**ΔE to the lowest computed polymorph**: 0.1948 eV per atom
**D(E_F)**: 1.480 states/eV per atom
**Spin magnetization**: 0.0 μB per formula unit

A plane-wave DFT calculation with GGA-PBE was carried out for crystalline Tb2CePm6Dy at its relaxed geometry.

Cell lengths 9.7718, 8.8505, 8.8505 Å; angles 117.24, 94.57, 94.57 degrees
With the nearest neighbours (Å) after each atom.
Fractional positions:
Tb  0.4541  0.8083  0.7114  5 Pm 3.30-3.48, 2 Dy 3.38, 1 Ce 3.57
Tb  0.0459  0.2886  0.1917  5 Pm 3.30-3.48, 2 Dy 3.38, 1 Ce 3.57
Tb  0.5459  0.1917  0.2886  5 Pm 3.30-3.48, 2 Dy 3.38, 1 Ce 3.57
Tb  0.9541  0.7114  0.8083  5 Pm 3.30-3.48, 2 Dy 3.38, 1 Ce 3.57
Ce  0.2500  0.4083  0.5917  6 Pm 3.39-3.60, 2 Tb 3.57
Ce  0.7500  0.5917  0.4083  6 Pm 3.39-3.60, 2 Tb 3.57
Pm  0.0563  0.1164  0.7520  7 Pm 3.46-3.79, 1 Tb 3.48, 1 Dy 3.65
Pm  0.4437  0.2480  0.8836  7 Pm 3.46-3.79, 1 Tb 3.48, 1 Dy 3.65
Pm  0.9437  0.8836  0.2480  7 Pm 3.46-3.79, 1 Tb 3.48, 1 Dy 3.65
Pm  0.5563  0.7520  0.1164  7 Pm 3.46-3.79, 1 Tb 3.48, 1 Dy 3.65
Pm  0.3114  0.9883  0.4305  3 Pm 3.31-3.68, 1 Ce 3.44, 1 Tb 3.46, 1 Dy 3.55
Pm  0.1886  0.5695  0.0117  3 Pm 3.31-3.68, 1 Ce 3.44, 1 Tb 3.46, 1 Dy 3.55
Pm  0.6886  0.0117  0.5695  3 Pm 3.31-3.68, 1 Ce 3.44, 1 Tb 3.46, 1 Dy 3.55
Pm  0.8114  0.4305  0.9883  3 Pm 3.31-3.68, 1 Ce 3.44, 1 Tb 3.46, 1 Dy 3.55
Pm  0.1204  0.7022  0.4943  3 Tb 3.30-3.47, 4 Pm 3.31-3.65, 2 Ce 3.39-3.60
Pm  0.3796  0.5057  0.2978  3 Tb 3.30-3.47, 4 Pm 3.31-3.65, 2 Ce 3.39-3.60
Pm  0.8796  0.2978  0.5057  3 Tb 3.30-3.47, 4 Pm 3.31-3.65, 2 Ce 3.39-3.60
Pm  0.6204  0.4943  0.7022  3 Tb 3.30-3.47, 4 Pm 3.31-3.65, 2 Ce 3.39-3.60
Dy  0.2500  0.9757  0.0243  4 Tb 3.38, 4 Pm 3.55-3.65
Dy  0.7500  0.0243  0.9757  4 Tb 3.38, 4 Pm 3.55-3.65

Output
**D(E_F)**: 1.890 states/eV per atom
**Energy**: -4.680 eV per atom
**Spin magnetization**: 1.0 μB per formula unit